Record 1
Material: PmPaAlOs
Method: DFT, PBE
State: relaxed

Computed properties:
total energy	-116.87	eV for the cell shown
calculated formation energy	0.000	eV/atom

Cell and atoms, written as CIF:
```
data_PmPaAlOs
_chemical_formula_sum 'Pm4 Pa4 Al4 Os4'
_cell_length_a 7.089
_cell_length_b 7.089
_cell_length_c 7.089
_cell_angle_alpha 90.00
_cell_angle_beta 90.00
_cell_angle_gamma 90.00
_space_group_name_H-M_alt 'F -4 3 m'
_space_group_IT_number 216
_space_group_name_Hall 'F -4 2 3'
loop_
_atom_site_label
_atom_site_type_symbol
_atom_site_fract_x
_atom_site_fract_y
_atom_site_fract_z
Pm1 Pm 0.000 0.000 0.000
Pa1 Pa 0.000 0.000 0.500
Al1 Al 0.250 0.250 0.750
Os1 Os 0.250 0.250 0.250
```


Record 2
Material: AcDy2PuSe4
Method: DFT, PBE
State: relaxed

Computed properties:
formation energy (no corrections)	-1.7179	eV per atom
total energy	-55.33	eV for the cell shown

Cell and atoms, written as CIF:
```
data_AcDy2PuSe4
_chemical_formula_sum 'Ac1 Dy2 Pu1 Se4'
_cell_length_a 7.240
_cell_length_b 4.157
_cell_length_c 7.349
_cell_angle_alpha 90.00
_cell_angle_beta 108.94
_cell_angle_gamma 90.00
_space_group_name_H-M_alt 'P 1 2/m 1'
_space_group_IT_number 10
_space_group_name_Hall '-P 2y'
loop_
_atom_site_label
_atom_site_type_symbol
_atom_site_fract_x
_atom_site_fract_y
_atom_site_fract_z
Ac1 Ac 0.000 0.000 0.000
Dy1 Dy 0.000 0.500 0.500
Dy2 Dy 0.500 0.000 0.500
Pu1 Pu 0.500 0.500 0.000
Se1 Se 0.254 0.000 0.736
Se2 Se 0.266 0.500 0.271
```


Record 3
Material: Rb2SrCuBr6
Method: DFT, PBE
State: relaxed

Computed properties:
formation energy (no corrections)	-1.3564	eV per atom
total energy	-31.31	eV for the cell shown

Cell and atoms, written as CIF:
```
data_Rb2SrCuBr6
_chemical_formula_sum 'Rb2 Sr1 Cu1 Br6'
_cell_length_a 5.808
_cell_length_b 5.808
_cell_length_c 10.850
_cell_angle_alpha 90.00
_cell_angle_beta 90.00
_cell_angle_gamma 90.00
_space_group_name_H-M_alt 'P 4/m m m'
_space_group_IT_number 123
_space_group_name_Hall '-P 4 2'
loop_
_atom_site_label
_atom_site_type_symbol
_atom_site_fract_x
_atom_site_fract_y
_atom_site_fract_z
Rb1 Rb 0.000 0.000 0.214
Sr1 Sr 0.500 0.500 0.500
Cu1 Cu 0.500 0.500 0.000
Br1 Br 0.000 0.500 0.000
Br2 Br 0.000 0.500 0.500
Br3 Br 0.500 0.500 0.218
```


Record 4
Material: La4YTl2
Method: DFT, PBE
State: relaxed

Computed properties:
total energy	-93.09	eV for the cell shown
calculated formation energy	-0.018	eV/atom

Cell and atoms, written as CIF:
```
data_La4YTl2
_chemical_formula_sum 'La12 Y3 Tl6'
_cell_length_a 5.6933
_cell_length_b 5.6933
_cell_length_c 27.5350
_cell_angle_alpha 90.00
_cell_angle_beta 90.00
_cell_angle_gamma 120.00
_space_group_name_H-M_alt 'R -3 m'
_space_group_IT_number 166
_space_group_name_Hall '-R 3 2"'
loop_
_atom_site_label
_atom_site_type_symbol
_atom_site_fract_x
_atom_site_fract_y
_atom_site_fract_z
La1 La 0.0000 0.0000 0.1294
La2 La 0.0000 0.0000 0.2705
Y1 Y 0.0000 0.0000 0.5000
Tl1 Tl 0.0000 0.0000 0.3890
```


Record 5
Material: CsRuSe2
Method: DFT, PBE
State: relaxed

Computed properties:
formation energy (no corrections)	-0.4941	eV per atom
total energy	-76.30	eV for the cell shown

Cell and atoms, written as CIF:
```
data_CsRuSe2
_chemical_formula_sum 'Cs4 Ru4 Se8'
_cell_length_a 7.697
_cell_length_b 7.697
_cell_length_c 8.547
_cell_angle_alpha 90.00
_cell_angle_beta 90.00
_cell_angle_gamma 90.00
_space_group_name_H-M_alt 'I -4 2 d'
_space_group_IT_number 122
_space_group_name_Hall 'I -4 2bw'
loop_
_atom_site_label
_atom_site_type_symbol
_atom_site_fract_x
_atom_site_fract_y
_atom_site_fract_z
Cs1 Cs 0.000 0.000 0.000
Ru1 Ru 0.000 0.000 0.500
Se1 Se 0.119 0.750 0.625
```


Record 6
Material: SiAsAu3
Method: DFT, PBE
State: relaxed

Computed properties:
formation energy (no corrections)	0.5473	eV per atom
total energy	-17.17	eV for the cell shown

Cell and atoms, written as CIF:
```
data_SiAsAu3
_chemical_formula_sum 'Si1 As1 Au3'
_cell_length_a 4.774
_cell_length_b 4.774
_cell_length_c 4.774
_cell_angle_alpha 90.00
_cell_angle_beta 90.00
_cell_angle_gamma 90.00
_space_group_name_H-M_alt 'P m -3 m'
_space_group_IT_number 221
_space_group_name_Hall '-P 4 2 3'
loop_
_atom_site_label
_atom_site_type_symbol
_atom_site_fract_x
_atom_site_fract_y
_atom_site_fract_z
Si1 Si 0.000 0.000 0.000
As1 As 0.500 0.500 0.500
Au1 Au 0.000 0.000 0.500
```


Record 7
Material: Mn2PRh
Method: DFT, PBE
State: relaxed

Computed properties:
total energy	-63.98	eV for the cell shown
calculated formation energy	-0.223	eV/atom

Cell and atoms, written as CIF:
```
data_Mn2PRh
_chemical_formula_sum 'Mn4 P2 Rh2'
_cell_length_a 2.742
_cell_length_b 4.116
_cell_length_c 8.317
_cell_angle_alpha 90.00
_cell_angle_beta 90.00
_cell_angle_gamma 90.00
_space_group_name_H-M_alt 'I m m m'
_space_group_IT_number 71
_space_group_name_Hall '-I 2 2'
loop_
_atom_site_label
_atom_site_type_symbol
_atom_site_fract_x
_atom_site_fract_y
_atom_site_fract_z
Mn1 Mn 0.000 0.000 0.216
P1 P 0.000 0.500 0.500
Rh1 Rh 0.000 0.500 0.000
```


Record 8
Material: Ac6NdHo
Method: DFT, PBE
State: relaxed

Computed properties:
total energy	-62.34	eV for the cell shown
calculated formation energy	0.353	eV/atom

Cell and atoms, written as CIF:
```
data_Ac6NdHo
_chemical_formula_sum 'Ac12 Nd2 Ho2'
_cell_length_a 9.876
_cell_length_b 7.776
_cell_length_c 10.130
_cell_angle_alpha 90.00
_cell_angle_beta 107.92
_cell_angle_gamma 90.00
_space_group_name_H-M_alt 'C 1 2/m 1'
_space_group_IT_number 12
_space_group_name_Hall '-C 2y'
loop_
_atom_site_label
_atom_site_type_symbol
_atom_site_fract_x
_atom_site_fract_y
_atom_site_fract_z
Ac1 Ac 0.139 0.000 0.429
Ac2 Ac 0.204 0.243 0.801
Nd1 Nd 0.000 0.000 0.000
Ho1 Ho 0.000 0.500 0.500
```


Record 9
Material: La2PaTl3Se6
Method: DFT, PBE
State: relaxed

Computed properties:
formation energy (no corrections)	-1.2702	eV per atom
total energy	-125.20	eV for the cell shown

Cell and atoms, written as CIF:
```
data_La2PaTl3Se6
_chemical_formula_sum 'La4 Pa2 Tl6 Se12'
_cell_length_a 7.532
_cell_length_b 13.034
_cell_length_c 8.161
_cell_angle_alpha 90.00
_cell_angle_beta 107.91
_cell_angle_gamma 90.00
_space_group_name_H-M_alt 'C 1 2/m 1'
_space_group_IT_number 12
_space_group_name_Hall '-C 2y'
loop_
_atom_site_label
_atom_site_type_symbol
_atom_site_fract_x
_atom_site_fract_y
_atom_site_fract_z
La1 La 0.000 0.166 0.000
Pa1 Pa 0.000 0.500 0.000
Tl1 Tl 0.000 0.000 0.500
Tl2 Tl 0.000 0.331 0.500
Se1 Se 0.229 0.340 0.209
Se2 Se 0.248 0.500 0.788
```


Record 10
Material: CePmCo2
Method: DFT, PBE
State: relaxed

Computed properties:
total energy	-102.62	eV for the cell shown
calculated formation energy	-0.190	eV/atom

Cell and atoms, written as CIF:
```
data_CePmCo2
_chemical_formula_sum 'Ce4 Pm4 Co8'
_cell_length_a 6.131
_cell_length_b 6.175
_cell_length_c 9.263
_cell_angle_alpha 90.00
_cell_angle_beta 111.72
_cell_angle_gamma 90.00
_space_group_name_H-M_alt 'P 1 2/c 1'
_space_group_IT_number 13
_space_group_name_Hall '-P 2yc'
loop_
_atom_site_label
_atom_site_type_symbol
_atom_site_fract_x
_atom_site_fract_y
_atom_site_fract_z
Ce1 Ce 0.196 0.132 0.157
Pm1 Pm 0.304 0.363 0.847
Co1 Co 0.103 0.333 0.520
Co2 Co 0.348 0.127 0.412
```


Record 11
Material: TlAg2PdCl8
Method: DFT, PBE
State: relaxed

Computed properties:
formation energy (no corrections)	-0.4830	eV per atom
total energy	-33.83	eV for the cell shown

Cell and atoms, written as CIF:
```
data_TlAg2PdCl8
_chemical_formula_sum 'Tl1 Ag2 Pd1 Cl8'
_cell_length_a 6.145
_cell_length_b 6.319
_cell_length_c 7.840
_cell_angle_alpha 88.77
_cell_angle_beta 88.82
_cell_angle_gamma 86.51
_space_group_name_H-M_alt 'P -1'
_space_group_IT_number 2
_space_group_name_Hall '-P 1'
loop_
_atom_site_label
_atom_site_type_symbol
_atom_site_fract_x
_atom_site_fract_y
_atom_site_fract_z
Tl1 Tl 0.000 0.000 0.000
Ag1 Ag 0.499 0.497 0.736
Pd1 Pd 0.000 0.000 0.500
Cl1 Cl 0.204 0.166 0.274
Cl2 Cl 0.211 0.170 0.735
Cl3 Cl 0.264 0.699 0.501
Cl4 Cl 0.280 0.674 0.001
```


Record 12
Material: Cs2Ce4Te3N2
Method: DFT, PBE
State: relaxed

Computed properties:
formation energy (no corrections)	-1.1295	eV per atom
total energy	-127.89	eV for the cell shown

Cell and atoms, written as CIF:
```
data_Cs2Ce4Te3N2
_chemical_formula_sum 'Cs4 Ce8 Te6 N4'
_cell_length_a 4.820
_cell_length_b 4.820
_cell_length_c 29.828
_cell_angle_alpha 90.00
_cell_angle_beta 90.00
_cell_angle_gamma 90.00
_space_group_name_H-M_alt 'I 4/m m m'
_space_group_IT_number 139
_space_group_name_Hall '-I 4 2'
loop_
_atom_site_label
_atom_site_type_symbol
_atom_site_fract_x
_atom_site_fract_y
_atom_site_fract_z
Cs1 Cs 0.000 0.000 0.200
Ce1 Ce 0.000 0.500 0.075
Te1 Te 0.000 0.000 0.347
Te2 Te 0.000 0.000 0.500
N1 N 0.000 0.000 0.080
```